1.
TlB2PPd | PBE | relaxed

Cell: 4.0628 4.0628 5.4686 Å, 90.00 90.00 90.00°
Fractional positions:
Tl1 0.0000 0.0000 0.0000
B1 0.0000 0.5000 0.5000
B2 0.5000 0.0000 0.5000
P1 0.5000 0.5000 0.0000
Pd1 0.5000 0.5000 0.5000

Output
- Total energy: -4.29 eV/atom
- Symmetry: P4/mmm
- Formation energy from the elements: 4.9 eV/f.u.
- Crystal system: tetragonal
- Magnetic moment: 0.000 μB/atom

=====

2.
AgRh2Pb | PBE | relaxed

Cell: 4.7770 4.7770 5.1455 Å, 101.77 101.77 37.93°
Fractional positions:
Ag1 0.0000 0.0000 0.0000
Rh1 0.2472 0.2472 0.7589
Rh2 0.7528 0.7528 0.2411
Pb1 0.5000 0.5000 0.5000

Output
- Total energy: -5.10 eV/atom
- Symmetry: C2/m
- Formation energy from the elements: 0.9 eV/f.u.
- Crystal system: monoclinic
- Magnetic moment: 0.000 μB/atom

=====

3.
La2BiPt2 | PBE | relaxed

Cell: 8.6368 8.6368 3.6472 Å, 90.00 90.00 90.00°
Fractional positions:
La1 0.1595 0.3405 0.0000
La2 0.3405 0.8405 0.0000
La3 0.6595 0.1595 0.0000
La4 0.8405 0.6595 0.0000
Bi1 0.0000 0.0000 0.0000
Bi2 0.5000 0.5000 0.0000
Pt1 0.1246 0.6246 0.5000
Pt2 0.3754 0.1246 0.5000
Pt3 0.6246 0.8754 0.5000
Pt4 0.8754 0.3754 0.5000

Output
- Total energy: -6.00 eV/atom
- Symmetry: P4/mbm
- Formation energy from the elements: -4.2 eV/f.u.
- Energy above the most stable polymorph in this dataset: 270 meV per atom
- Crystal system: tetragonal
- Magnetic moment: 0.000 μB/atom

=====

4.
PmPuTe2H | PBE | relaxed

Cell: 4.3097 4.3097 13.6574 Å, 90.00 90.00 90.00°
Fractional positions:
Pm1 0.2500 0.2500 0.0997
Pm2 0.7500 0.7500 0.9003
Pu1 0.2500 0.2500 0.5744
Pu2 0.7500 0.7500 0.4256
Te1 0.2500 0.2500 0.3371
Te2 0.2500 0.2500 0.8644
Te3 0.7500 0.7500 0.1356
Te4 0.7500 0.7500 0.6629
H1 0.2500 0.7500 0.5000
H2 0.7500 0.2500 0.5000

Output
- Total energy: -6.80 eV/atom
- Symmetry: P4/nmm
- Crystal system: tetragonal
- Magnetic moment: 1.064 μB/atom

=====

5.
LaMnFeGe3 | PBE | relaxed

Cell: 6.2987 6.2987 6.9957 Å, 90.00 90.00 122.90°
Fractional positions:
La1 0.2430 0.7570 0.7500
La2 0.7570 0.2430 0.2500
Mn1 0.4668 0.5332 0.2500
Mn2 0.5332 0.4668 0.7500
Fe1 0.0630 0.9370 0.2500
Fe2 0.9370 0.0630 0.7500
Ge1 0.2303 0.2303 0.0000
Ge2 0.2303 0.2303 0.5000
Ge3 0.2618 0.7382 0.2500
Ge4 0.7382 0.2618 0.7500
Ge5 0.7697 0.7697 0.0000
Ge6 0.7697 0.7697 0.5000

Output
- Total energy: -6.32 eV/atom
- Symmetry: Cmcm
- Formation energy from the elements: -1.5 eV/f.u.
- Crystal system: orthorhombic
- Magnetic moment: 0.303 μB/atom

=====

6.
Tb3Pm2Ho3 | PBE | relaxed

Cell: 12.0820 12.0820 6.2063 Å, 104.87 104.87 17.07°
Fractional positions:
Tb1 0.0000 0.0000 0.0000
Tb2 0.1239 0.1239 0.4573
Tb3 0.8761 0.8761 0.5427
Pm1 0.2497 0.2497 0.2495
Pm2 0.7503 0.7503 0.7505
Ho1 0.3762 0.3762 0.0431
Ho2 0.5000 0.5000 0.5000
Ho3 0.6238 0.6238 0.9569

Output
- Total energy: -4.64 eV/atom
- Symmetry: C2/m
- Formation energy from the elements: 0.0 eV/f.u.
- Energy above the most stable polymorph in this dataset: 0 meV per atom
- Crystal system: monoclinic
- Magnetic moment: 0.000 μB/atom

=====

7.
Pm2SmTl2Hg2 | PBE | relaxed

Cell: 9.5187 9.5187 9.5187 Å, 30.64 30.64 30.64°
Fractional positions:
Pm1 0.1335 0.1335 0.1335
Pm2 0.8665 0.8665 0.8665
Sm1 0.0000 0.0000 0.0000
Tl1 0.2742 0.2742 0.2742
Tl2 0.7258 0.7258 0.7258
Hg1 0.4315 0.4315 0.4315
Hg2 0.5685 0.5685 0.5685

Output
- Total energy: -3.01 eV/atom
- Symmetry: R-3m
- Formation energy from the elements: -1.5 eV/f.u.
- Crystal system: trigonal
- Magnetic moment: 0.000 μB/atom

=====

8.
PmPuMn2 | PBE | relaxed

Cell: 5.1003 5.1003 3.4442 Å, 90.00 90.00 90.00°
Fractional positions:
Pm1 0.0000 0.0000 0.0000
Pu1 0.5000 0.5000 0.0000
Mn1 0.0000 0.5000 0.5000
Mn2 0.5000 0.0000 0.5000

Output
- Total energy: -8.86 eV/atom
- Symmetry: P4/mmm
- Formation energy from the elements: 2.0 eV/f.u.
- Energy above the most stable polymorph in this dataset: 386 meV per atom
- Crystal system: tetragonal
- Magnetic moment: 2.961 μB/atom